This record from the Alexandria database describes crystalline BaNb2Sn2 at its relaxed geometry. The functional is GGA-PBE.

Values from the calculation:
DFT total energy: -29.30 eV/f.u.
calculated formation energy: 153 meV/atom
D(E_F): 2.27 states/eV/cell
size of the total moment: 0.0000 μB per atom

Lattice parameters (Å, degrees): 5.9548 5.9548 5.9548 124.81 124.81 81.86
Closest atoms and distances in Å follow each position.
Sites, in units of the cell vectors:
Ba 0.0000 0.0000 0.0000  2 Nb 3.28, 8 Sn 3.56
Nb 0.3644 0.3644 0.0000  1 Nb 2.44
Nb 0.6356 0.6356 0.0000  1 Nb 2.44
Sn 0.2500 0.7500 0.5000  4 Nb 2.94
Sn 0.7500 0.2500 0.5000  4 Nb 2.94